Record 1
Material: Ba2NpSi2N6
Method: DFT, PBE
State: optimized geometry

Geometry as extended XYZ:
```
11
Lattice="-1.895 2.522 -4.943 -2.576 -3.248 -4.147 -6.777 0.730 -0.508" Properties=species:S:1:pos:R:3 pbc="T T T"
Ba -7.875 -0.100 -7.466
Ba -3.373 0.104 -2.132
Np 0.000 0.000 0.000
Si -7.065 0.267 -4.112
Si -4.183 -0.263 -5.486
N -4.924 -0.383 -6.988
N -3.985 -1.633 -4.537
N -3.647 1.227 -4.932
N -7.601 -1.224 -4.666
N -7.263 1.636 -5.061
N -6.324 0.386 -2.610
```

Results
Total DFT energy (no corrections) (eV per atom): -7.944

---

Record 2
Material: Ba3Sm2NpN6
Method: DFT, PBE
State: optimized geometry

Geometry as extended XYZ:
```
12
Lattice="-4.908 -3.245 2.235 5.827 -2.281 0.680 0.236 4.867 4.652" Properties=species:S:1:pos:R:3 pbc="T T T"
Ba 4.126 -0.011 3.269
Ba -2.971 -0.648 4.297
Ba 0.577 -0.330 3.783
Sm 2.241 -2.603 1.199
Sm -1.322 -2.923 1.715
Np 0.000 0.000 0.000
N -0.643 -0.546 6.335
N 0.750 -3.281 3.146
N 1.798 -0.113 1.231
N 2.485 -0.265 5.882
N 0.405 2.622 4.420
N -1.330 -0.394 1.684
```

Results
Total DFT energy (no corrections) (eV per atom): -7.480

---

Record 3
Material: Ba2SmNpN4
Method: DFT, PBE
State: optimized geometry

Geometry as extended XYZ:
```
8
Lattice="3.650 0.000 0.000 0.000 6.214 0.074 0.000 -2.189 6.387" Properties=species:S:1:pos:R:3 pbc="T T T"
Ba 1.825 -1.095 3.193
Ba 0.000 2.012 3.231
Sm 1.825 3.107 0.037
Np 0.000 0.000 0.000
N 1.825 0.871 1.156
N 1.825 3.154 5.305
N 0.000 -0.386 5.283
N 0.000 4.410 1.178
```

Results
Total DFT energy (no corrections) (eV per atom): -7.805

---

Record 4
Material: BaSmNpN3
Method: DFT, PBE
State: optimized geometry

Geometry as extended XYZ:
```
12
Lattice="-2.508 2.726 -0.290 -4.478 -4.975 -8.034 -2.966 -2.109 5.834" Properties=species:S:1:pos:R:3 pbc="T T T"
Ba -7.068 -2.875 -1.600
Ba -2.884 -1.482 -0.889
Sm -3.920 -2.785 -4.181
Sm -6.032 -1.572 1.691
Np -2.756 -0.962 2.892
Np -7.196 -3.395 -5.382
N -5.815 -4.506 -3.964
N -5.792 -2.146 -5.784
N -4.636 -0.779 -2.925
N -4.138 0.148 1.474
N -5.316 -3.579 0.436
N -4.161 -2.212 3.295
```

Results
Total DFT energy (no corrections) (eV per atom): -8.321

---

Record 5
Material: BaSr2Np3N8
Method: DFT, PBE
State: optimized geometry

Geometry as extended XYZ:
```
14
Lattice="7.000 0.000 0.000 3.500 6.063 0.000 3.500 2.021 5.996" Properties=species:S:1:pos:R:3 pbc="T T T"
Ba 10.501 6.063 2.144
Sr 3.500 2.021 3.974
Sr 7.000 4.042 3.005
Np 10.501 8.080 5.995
Np 12.248 5.054 5.995
Np 8.753 5.054 5.995
N 3.500 2.021 1.081
N 10.501 6.063 4.953
N 5.516 3.185 4.942
N 8.485 3.185 4.942
N 7.000 5.756 4.942
N 7.000 2.371 1.043
N 5.553 4.877 1.043
N 8.447 4.877 1.043
```

Results
Total DFT energy (no corrections) (eV per atom): -8.896

---

Record 6
Material: BaSr3Np2N6
Method: DFT, PBE
State: optimized geometry

Geometry as extended XYZ:
```
12
Lattice="-3.531 -0.767 0.642 1.861 -6.838 2.065 2.139 4.514 6.664" Properties=species:S:1:pos:R:3 pbc="T T T"
Ba -1.765 -0.383 0.321
Sr -0.835 -3.803 1.354
Sr -1.215 1.216 5.257
Sr 1.684 -4.308 4.114
Np -0.291 -2.207 6.251
Np 0.760 -0.885 3.120
N 1.848 -3.212 6.324
N -0.553 -2.740 4.171
N -1.379 0.121 3.047
N 0.580 -1.633 1.240
N -0.111 -1.458 8.131
N 1.022 -0.351 5.200
```

Results
Total DFT energy (no corrections) (eV per atom): -7.792

---

Record 7
Material: BaSr2NpN4
Method: DFT, PBE
State: optimized geometry

Geometry as extended XYZ:
```
16
Lattice="3.983 0.000 0.000 -1.992 6.471 0.000 0.000 0.000 12.543" Properties=species:S:1:pos:R:3 pbc="T T T"
Ba 0.000 1.628 9.407
Ba 1.992 4.843 3.136
Sr 0.000 4.824 6.573
Sr 1.992 1.647 0.302
Sr 1.992 1.647 5.970
Sr 0.000 4.824 12.241
Np 1.992 4.706 9.407
Np 0.000 1.765 3.136
N 0.000 3.196 1.730
N 1.992 3.275 8.002
N 1.992 3.275 10.812
N 0.000 3.196 4.541
N 0.000 0.000 6.271
N 0.000 0.000 0.000
N 0.000 5.451 9.407
N 1.992 1.020 3.136
```

Results
Total DFT energy (no corrections) (eV per atom): -7.057

---

Record 8
Material: BaSrNpN3
Method: DFT, PBE
State: optimized geometry

Geometry as extended XYZ:
```
12
Lattice="6.112 -0.138 0.000 1.152 6.078 0.000 0.576 3.039 6.429" Properties=species:S:1:pos:R:3 pbc="T T T"
Ba 2.104 3.004 3.317
Ba 5.737 5.974 3.112
Sr 2.681 6.043 5.454
Sr 5.161 2.935 0.975
Np 5.161 2.935 5.599
Np 2.681 6.043 0.831
N 4.535 7.826 5.882
N 0.826 4.261 5.882
N 5.161 2.935 3.518
N 3.306 1.153 0.547
N 7.015 4.718 0.547
N 2.681 6.043 2.911
```

Results
Total DFT energy (no corrections) (eV per atom): -7.786

---

Record 9
Material: Ba3Sr2NpN6
Method: DFT, PBE
State: optimized geometry

Geometry as extended XYZ:
```
12
Lattice="6.525 0.020 0.003 -3.243 5.661 0.003 -1.091 -1.889 6.310" Properties=species:S:1:pos:R:3 pbc="T T T"
Ba -2.187 3.792 3.158
Ba 4.377 0.001 3.158
Ba 1.095 1.896 3.158
Sr 0.041 3.765 0.003
Sr 3.241 1.917 0.003
Np 0.000 0.000 0.000
N 3.037 2.299 5.111
N 2.343 4.057 1.398
N -0.847 1.493 1.206
N 0.474 3.780 5.111
N -0.153 -0.264 4.918
N 1.716 0.013 1.206
```

Results
Total DFT energy (no corrections) (eV per atom): -6.669

---

Record 10
Material: Ba2NpTaN5
Method: DFT, PBE
State: optimized geometry

Geometry as extended XYZ:
```
18
Lattice="-1.214 2.944 -1.485 -5.347 -5.090 -1.560 -5.683 2.828 10.252" Properties=species:S:1:pos:R:3 pbc="T T T"
Ba -9.371 1.076 5.639
Ba -5.300 1.219 6.750
Ba -3.268 -0.197 2.282
Ba -6.453 -0.781 -0.428
Np -6.857 0.870 3.174
Np -2.645 -1.552 -0.914
Ta -6.164 4.170 9.148
Ta -8.547 -2.259 2.510
N -4.466 -2.697 -1.693
N -8.171 2.554 7.586
N -10.544 -1.311 6.021
N -6.810 -0.276 5.022
N -8.855 -0.249 2.590
N -4.967 1.980 3.830
N -5.822 -1.001 2.777
N -2.395 2.340 2.440
N -3.898 0.194 -0.585
N -0.819 -0.348 -0.020
```

Results
Total DFT energy (no corrections) (eV per atom): -8.784

---

Record 11
Material: Ba2TbNpN4
Method: DFT, PBE
State: optimized geometry

Geometry as extended XYZ:
```
8
Lattice="-0.078 1.606 3.248 -5.527 -2.419 1.063 4.629 -4.345 2.260" Properties=species:S:1:pos:R:3 pbc="T T T"
Ba 2.275 -1.370 2.754
Ba -0.449 -3.382 1.661
Tb -2.803 -0.407 2.155
Np 0.000 0.000 0.000
N -0.359 -0.468 2.245
N -0.618 -4.690 4.325
N 2.521 -4.156 2.115
N -3.419 -2.608 1.207
```

Results
Total DFT energy (no corrections) (eV per atom): -7.829

---

Record 12
Material: BaNpTcN4
Method: DFT, PBE
State: optimized geometry

Geometry as extended XYZ:
```
14
Lattice="5.978 0.000 0.068 0.000 5.855 0.000 -2.263 0.000 7.124" Properties=species:S:1:pos:R:3 pbc="T T T"
Ba 2.160 4.391 6.638
Ba 1.556 1.464 0.554
Np 3.732 4.391 3.246
Np -0.017 1.464 3.946
Tc 0.764 4.391 2.417
Tc 2.952 1.464 4.775
N 4.162 2.885 4.936
N -0.446 5.812 2.256
N -0.446 2.970 2.256
N 4.162 0.043 4.936
N 2.275 4.391 1.322
N 1.440 1.464 5.870
N 1.537 4.391 4.050
N 2.178 1.464 3.142
```

Results
Total DFT energy (no corrections) (eV per atom): -8.933

---

no.,ρ (g cm⁻³)
1,6.12
2,7.79
3,8.20
4,7.44
5,7.41
6,7.41
7,6.22
8,6.98
9,6.46
10,8.15
11,8.47
12,7.01